1.
Compound: AsOsBr2N
Source: Alexandria via LeMat-Bulk
Functional: PBE
Structure: optimized geometry

Geometry as POSCAR:
```
AsOsBr2N
1.0
4.349 0.000 0.000
0.000 4.349 0.000
0.000 0.000 4.537
As Os Br N
1 1 2 1
Direct
0.000 0.000 0.000
0.500 0.500 0.000
0.000 0.500 0.500
0.500 0.000 0.500
0.000 0.000 0.500
```

Distance to the lowest polymorph of the same formula in eV per atom: 0.058
Crystal system: tetragonal
SG: P4/mmm (123)
Energy relative to the elements, uncorrected in meV/atom: 1854.9

=====

2.
Compound: AsOsBr2N
Source: Alexandria via LeMat-Bulk
Functional: PBE
Structure: optimized geometry

Geometry as POSCAR:
```
AsOsBr2N
1.0
5.075 0.000 0.000
0.000 5.075 0.000
0.000 0.000 4.684
As Os Br N
1 1 2 1
Direct
0.000 0.000 0.000
0.000 0.000 0.500
0.000 0.500 0.500
0.500 0.000 0.500
0.500 0.500 0.000
```

Distance to the lowest polymorph of the same formula in eV per atom: 0.000
Crystal system: tetragonal
SG: P4/mmm (123)
Energy relative to the elements, uncorrected in meV/atom: 1796.4

=====

3.
Compound: As2PBrN
Source: Alexandria via LeMat-Bulk
Functional: PBE
Structure: optimized geometry

Geometry as POSCAR:
```
As2PBrN
1.0
4.834 0.000 0.000
0.000 4.834 0.000
0.000 0.000 5.293
As P Br N
2 1 1 1
Direct
0.000 0.500 0.000
0.500 0.000 0.000
0.000 0.000 0.000
0.000 0.000 0.500
0.500 0.500 0.500
```

Distance to the lowest polymorph of the same formula in eV per atom: 0.411
Crystal system: tetragonal
SG: P4/mmm (123)
Energy relative to the elements, uncorrected in meV/atom: 1584.1

=====

4.
Compound: As2PBrN
Source: Alexandria via LeMat-Bulk
Functional: PBE
Structure: optimized geometry

Geometry as POSCAR:
```
As2PBrN
1.0
4.481 0.000 0.000
0.000 4.481 0.000
0.000 0.000 4.345
As P Br N
2 1 1 1
Direct
0.000 0.500 0.000
0.500 0.000 0.000
0.000 0.000 0.500
0.500 0.500 0.500
0.500 0.500 0.000
```

Distance to the lowest polymorph of the same formula in eV per atom: 0.000
Crystal system: tetragonal
SG: P4/mmm (123)
Energy relative to the elements, uncorrected in meV/atom: 1173.0

=====

5.
Compound: As2PbBrN
Source: Alexandria via LeMat-Bulk
Functional: PBE
Structure: optimized geometry

Geometry as POSCAR:
```
As2PbBrN
1.0
5.655 0.000 0.000
0.000 5.655 0.000
0.000 0.000 5.947
As Pb Br N
2 1 1 1
Direct
0.000 0.500 0.000
0.500 0.000 0.000
0.000 0.000 0.000
0.000 0.000 0.500
0.500 0.500 0.500
```

Distance to the lowest polymorph of the same formula in eV per atom: 0.909
Crystal system: tetragonal
SG: P4/mmm (123)
Energy relative to the elements, uncorrected in meV/atom: 1641.9

=====

6.
Compound: As2PbBrN
Source: Alexandria via LeMat-Bulk
Functional: PBE
Structure: optimized geometry

Geometry as POSCAR:
```
As2PbBrN
1.0
4.495 0.000 0.000
0.000 4.495 0.000
0.000 0.000 5.023
As Pb Br N
2 1 1 1
Direct
0.000 0.500 0.000
0.500 0.000 0.000
0.000 0.000 0.500
0.500 0.500 0.500
0.500 0.500 0.000
```

Distance to the lowest polymorph of the same formula in eV per atom: 0.000
Crystal system: tetragonal
SG: P4/mmm (123)
Energy relative to the elements, uncorrected in meV/atom: 733.3

=====

7.
Compound: AsPbBr2N
Source: Alexandria via LeMat-Bulk
Functional: PBE
Structure: optimized geometry

Geometry as POSCAR:
```
AsPbBr2N
1.0
5.098 0.000 0.000
0.000 5.098 0.000
0.000 0.000 4.312
As Pb Br N
1 1 2 1
Direct
0.000 0.000 0.000
0.500 0.500 0.000
0.000 0.500 0.500
0.500 0.000 0.500
0.000 0.000 0.500
```

Distance to the lowest polymorph of the same formula in eV per atom: 0.000
Crystal system: tetragonal
SG: P4/mmm (123)
Energy relative to the elements, uncorrected in meV/atom: 712.9

=====

8.
Compound: AsPbBr2N
Source: Alexandria via LeMat-Bulk
Functional: PBE
Structure: optimized geometry

Geometry as POSCAR:
```
AsPbBr2N
1.0
5.867 0.000 0.000
0.000 5.867 0.000
0.000 0.000 5.742
As Pb Br N
1 1 2 1
Direct
0.000 0.000 0.000
0.000 0.000 0.500
0.000 0.500 0.500
0.500 0.000 0.500
0.500 0.500 0.000
```

Distance to the lowest polymorph of the same formula in eV per atom: 0.392
Crystal system: tetragonal
SG: P4/mmm (123)
Energy relative to the elements, uncorrected in meV/atom: 1105.2

=====

9.
Compound: AsPdBr2N
Source: Alexandria via LeMat-Bulk
Functional: PBE
Structure: optimized geometry

Geometry as POSCAR:
```
AsPdBr2N
1.0
5.340 0.000 0.000
0.000 5.340 0.000
0.000 0.000 4.716
As Pd Br N
1 1 2 1
Direct
0.000 0.000 0.000
0.000 0.000 0.500
0.000 0.500 0.500
0.500 0.000 0.500
0.500 0.500 0.000
```

Distance to the lowest polymorph of the same formula in eV per atom: 0.055
Crystal system: tetragonal
SG: P4/mmm (123)
Energy relative to the elements, uncorrected in meV/atom: 1158.8

=====

10.
Compound: AsPdBr2N
Source: Alexandria via LeMat-Bulk
Functional: PBE
Structure: optimized geometry

Geometry as POSCAR:
```
AsPdBr2N
1.0
4.497 0.000 0.000
0.000 4.497 0.000
0.000 0.000 4.591
As Pd Br N
1 1 2 1
Direct
0.000 0.000 0.000
0.500 0.500 0.000
0.000 0.500 0.500
0.500 0.000 0.500
0.000 0.000 0.500
```

Distance to the lowest polymorph of the same formula in eV per atom: 0.000
Crystal system: tetragonal
SG: P4/mmm (123)
Energy relative to the elements, uncorrected in meV/atom: 1103.7

=====

11.
Compound: Pr4AsBr2N
Source: Alexandria via LeMat-Bulk
Functional: PBE
Structure: optimized geometry

Geometry as POSCAR:
```
Pr4AsBr2N
1.0
7.146 0.000 0.000
0.000 4.000 0.000
-2.374 0.000 7.385
Pr As Br N
4 1 2 1
Direct
0.200 0.000 0.188
0.222 0.500 0.806
0.778 0.500 0.194
0.800 0.000 0.812
0.500 0.000 0.000
0.000 0.000 0.500
0.500 0.500 0.500
0.000 0.500 0.000
```

Crystal system: monoclinic
SG: P2/m (10)
Energy relative to the elements, uncorrected in meV/atom: -1368.3

=====

12.
Compound: As2PtBrN
Source: Alexandria via LeMat-Bulk
Functional: PBE
Structure: optimized geometry

Geometry as POSCAR:
```
As2PtBrN
1.0
4.850 0.000 0.000
0.000 4.850 0.000
0.000 0.000 5.548
As Pt Br N
2 1 1 1
Direct
0.000 0.500 0.000
0.500 0.000 0.000
0.000 0.000 0.000
0.000 0.000 0.500
0.500 0.500 0.500
```

Distance to the lowest polymorph of the same formula in eV per atom: 0.371
Crystal system: tetragonal
SG: P4/mmm (123)
Energy relative to the elements, uncorrected in meV/atom: 1398.1

=====

13.
Compound: As2PtBrN
Source: Alexandria via LeMat-Bulk
Functional: PBE
Structure: optimized geometry

Geometry as POSCAR:
```
As2PtBrN
1.0
4.432 0.000 0.000
0.000 4.432 0.000
0.000 0.000 4.288
As Pt Br N
2 1 1 1
Direct
0.000 0.500 0.000
0.500 0.000 0.000
0.000 0.000 0.500
0.500 0.500 0.500
0.500 0.500 0.000
```

Distance to the lowest polymorph of the same formula in eV per atom: 0.000
Crystal system: tetragonal
SG: P4/mmm (123)
Energy relative to the elements, uncorrected in meV/atom: 1027.0

=====

14.
Compound: AsPtBr2N
Source: Alexandria via LeMat-Bulk
Functional: PBE
Structure: optimized geometry

Geometry as POSCAR:
```
AsPtBr2N
1.0
4.436 0.000 0.000
0.000 4.436 0.000
0.000 0.000 4.613
As Pt Br N
1 1 2 1
Direct
0.000 0.000 0.000
0.500 0.500 0.000
0.000 0.500 0.500
0.500 0.000 0.500
0.000 0.000 0.500
```

Distance to the lowest polymorph of the same formula in eV per atom: 0.000
Crystal system: tetragonal
SG: P4/mmm (123)
Energy relative to the elements, uncorrected in meV/atom: 1307.0

=====

15.
Compound: AsPtBr2N
Source: Alexandria via LeMat-Bulk
Functional: PBE
Structure: optimized geometry

Geometry as POSCAR:
```
AsPtBr2N
1.0
5.173 0.000 0.000
0.000 5.173 0.000
0.000 0.000 4.764
As Pt Br N
1 1 2 1
Direct
0.000 0.000 0.000
0.000 0.000 0.500
0.000 0.500 0.500
0.500 0.000 0.500
0.500 0.500 0.000
```

Distance to the lowest polymorph of the same formula in eV per atom: 0.274
Crystal system: tetragonal
SG: P4/mmm (123)
Energy relative to the elements, uncorrected in meV/atom: 1580.8

=====

16.
Compound: RbAsBr2N
Source: Alexandria via LeMat-Bulk
Functional: PBE
Structure: optimized geometry

Geometry as POSCAR:
```
RbAsBr2N
1.0
6.600 0.000 0.000
0.000 6.600 0.000
0.000 0.000 3.593
Rb As Br N
1 1 2 1
Direct
0.000 0.000 0.000
0.500 0.500 0.000
0.000 0.500 0.500
0.500 0.000 0.500
0.500 0.500 0.500
```

Distance to the lowest polymorph of the same formula in eV per atom: 0.000
Crystal system: tetragonal
SG: P4/mmm (123)
Energy relative to the elements, uncorrected in meV/atom: 121.3

=====

17.
Compound: RbAsBr2N
Source: Alexandria via LeMat-Bulk
Functional: PBE
Structure: optimized geometry

Geometry as POSCAR:
```
RbAsBr2N
1.0
6.663 0.000 0.000
0.000 6.663 0.000
0.000 0.000 8.012
Rb As Br N
1 1 2 1
Direct
0.000 0.000 0.000
0.000 0.000 0.500
0.000 0.500 0.000
0.500 0.000 0.000
0.500 0.500 0.500
```

Distance to the lowest polymorph of the same formula in eV per atom: 1.091
Crystal system: tetragonal
SG: P4/mmm (123)
Energy relative to the elements, uncorrected in meV/atom: 1212.2

=====

18.
Compound: AsRh2BrN
Source: Alexandria via LeMat-Bulk
Functional: PBE
Structure: optimized geometry

Geometry as POSCAR:
```
AsRh2BrN
1.0
4.768 0.000 0.000
0.000 4.768 0.000
0.000 0.000 3.768
As Rh Br N
1 2 1 1
Direct
0.000 0.000 0.000
0.000 0.500 0.500
0.500 0.000 0.500
0.500 0.500 0.500
0.500 0.500 0.000
```

Crystal system: tetragonal
SG: P4/mmm (123)
Energy relative to the elements, uncorrected in meV/atom: 1605.5

=====

19.
Compound: AsRhBr2N
Source: Alexandria via LeMat-Bulk
Functional: PBE
Structure: optimized geometry

Geometry as POSCAR:
```
AsRhBr2N
1.0
4.434 0.000 0.000
0.000 4.434 0.000
0.000 0.000 4.555
As Rh Br N
1 1 2 1
Direct
0.000 0.000 0.000
0.500 0.500 0.000
0.000 0.500 0.500
0.500 0.000 0.500
0.000 0.000 0.500
```

Distance to the lowest polymorph of the same formula in eV per atom: 0.159
Crystal system: tetragonal
SG: P4/mmm (123)
Energy relative to the elements, uncorrected in meV/atom: 1299.6

=====

20.
Compound: AsRhBr2N
Source: Alexandria via LeMat-Bulk
Functional: PBE
Structure: optimized geometry

Geometry as POSCAR:
```
AsRhBr2N
1.0
5.301 0.000 0.000
0.000 5.301 0.000
0.000 0.000 4.609
As Rh Br N
1 1 2 1
Direct
0.000 0.000 0.000
0.000 0.000 0.500
0.000 0.500 0.500
0.500 0.000 0.500
0.500 0.500 0.000
```

Distance to the lowest polymorph of the same formula in eV per atom: 0.000
Crystal system: tetragonal
SG: P4/mmm (123)
Energy relative to the elements, uncorrected in meV/atom: 1140.2

=====

21.
Compound: AsRuBr2N
Source: Alexandria via LeMat-Bulk
Functional: PBE
Structure: optimized geometry

Geometry as POSCAR:
```
AsRuBr2N
1.0
5.050 0.000 0.000
0.000 5.050 0.000
0.000 0.000 4.663
As Ru Br N
1 1 2 1
Direct
0.000 0.000 0.000
0.000 0.000 0.500
0.000 0.500 0.500
0.500 0.000 0.500
0.500 0.500 0.000
```

Distance to the lowest polymorph of the same formula in eV per atom: 0.092
Crystal system: tetragonal
SG: P4/mmm (123)
Energy relative to the elements, uncorrected in meV/atom: 1592.7

=====

22.
Compound: AsRuBr2N
Source: Alexandria via LeMat-Bulk
Functional: PBE
Structure: optimized geometry

Geometry as POSCAR:
```
AsRuBr2N
1.0
4.424 0.000 0.000
0.000 4.424 0.000
0.000 0.000 4.571
As Ru Br N
1 1 2 1
Direct
0.000 0.000 0.000
0.500 0.500 0.000
0.000 0.500 0.500
0.500 0.000 0.500
0.000 0.000 0.500
```

Distance to the lowest polymorph of the same formula in eV per atom: 0.000
Crystal system: tetragonal
SG: P4/mmm (123)
Energy relative to the elements, uncorrected in meV/atom: 1500.5

=====

23.
Compound: AsSBr2N
Source: Alexandria via LeMat-Bulk
Functional: PBE
Structure: optimized geometry

Geometry as POSCAR:
```
AsSBr2N
1.0
4.491 0.000 0.000
0.000 4.491 0.000
0.000 0.000 4.723
As S Br N
1 1 2 1
Direct
0.000 0.000 0.000
0.500 0.500 0.000
0.000 0.500 0.500
0.500 0.000 0.500
0.000 0.000 0.500
```

Distance to the lowest polymorph of the same formula in eV per atom: 0.000
Crystal system: tetragonal
SG: P4/mmm (123)
Energy relative to the elements, uncorrected in meV/atom: 1250.3

=====

24.
Compound: AsSBr2N
Source: Alexandria via LeMat-Bulk
Functional: PBE
Structure: optimized geometry

Geometry as POSCAR:
```
AsSBr2N
1.0
5.276 0.000 0.000
0.000 5.276 0.000
0.000 0.000 4.974
As S Br N
1 1 2 1
Direct
0.000 0.000 0.000
0.000 0.000 0.500
0.000 0.500 0.500
0.500 0.000 0.500
0.500 0.500 0.000
```

Distance to the lowest polymorph of the same formula in eV per atom: 0.197
Crystal system: tetragonal
SG: P4/mmm (123)
Energy relative to the elements, uncorrected in meV/atom: 1447.5

=====

25.
Compound: SbAs2BrN
Source: Alexandria via LeMat-Bulk
Functional: PBE
Structure: optimized geometry

Geometry as POSCAR:
```
SbAs2BrN
1.0
5.438 0.000 0.000
0.000 5.438 0.000
0.000 0.000 5.801
Sb As Br N
1 2 1 1
Direct
0.000 0.000 0.000
0.000 0.500 0.000
0.500 0.000 0.000
0.000 0.000 0.500
0.500 0.500 0.500
```

Distance to the lowest polymorph of the same formula in eV per atom: 0.744
Crystal system: tetragonal
SG: P4/mmm (123)
Energy relative to the elements, uncorrected in meV/atom: 1608.3

=====

26.
Compound: SbAs2BrN
Source: Alexandria via LeMat-Bulk
Functional: PBE
Structure: optimized geometry

Geometry as POSCAR:
```
SbAs2BrN
1.0
4.607 0.000 0.000
0.000 4.607 0.000
0.000 0.000 4.460
Sb As Br N
1 2 1 1
Direct
0.000 0.000 0.000
0.000 0.500 0.500
0.500 0.000 0.500
0.500 0.500 0.000
0.500 0.500 0.500
```

Distance to the lowest polymorph of the same formula in eV per atom: 0.000
Crystal system: tetragonal
SG: P4/mmm (123)
Energy relative to the elements, uncorrected in meV/atom: 864.1

=====

27.
Compound: SbAsBr2N
Source: Alexandria via LeMat-Bulk
Functional: PBE
Structure: optimized geometry

Geometry as POSCAR:
```
SbAsBr2N
1.0
5.649 0.000 0.000
0.000 5.649 0.000
0.000 0.000 5.583
Sb As Br N
1 1 2 1
Direct
0.000 0.000 0.000
0.000 0.000 0.500
0.000 0.500 0.000
0.500 0.000 0.000
0.500 0.500 0.500
```

Distance to the lowest polymorph of the same formula in eV per atom: 0.207
Crystal system: tetragonal
SG: P4/mmm (123)
Energy relative to the elements, uncorrected in meV/atom: 1127.8

=====

28.
Compound: SbAsBr2N
Source: Alexandria via LeMat-Bulk
Functional: PBE
Structure: optimized geometry

Geometry as POSCAR:
```
SbAsBr2N
1.0
4.520 0.000 0.000
0.000 4.520 0.000
0.000 0.000 4.987
Sb As Br N
1 1 2 1
Direct
0.000 0.000 0.000
0.500 0.500 0.000
0.000 0.500 0.500
0.500 0.000 0.500
0.500 0.500 0.500
```

Distance to the lowest polymorph of the same formula in eV per atom: 0.000
Crystal system: tetragonal
SG: P4/mmm (123)
Energy relative to the elements, uncorrected in meV/atom: 921.0

=====

29.
Compound: ScAs2BrN
Source: Alexandria via LeMat-Bulk
Functional: PBE
Structure: optimized geometry

Geometry as POSCAR:
```
ScAs2BrN
1.0
4.314 0.000 0.000
0.000 4.314 0.000
0.000 0.000 4.784
Sc As Br N
1 2 1 1
Direct
0.000 0.000 0.000
0.000 0.500 0.500
0.500 0.000 0.500
0.500 0.500 0.000
0.500 0.500 0.500
```

Distance to the lowest polymorph of the same formula in eV per atom: 0.000
Crystal system: tetragonal
SG: P4/mmm (123)
Energy relative to the elements, uncorrected in meV/atom: 342.9

=====

E values (in eV/atom) by entry order: -3.66; -3.71; -3.36; -3.77; -2.96; -3.87; -3.29; -2.90; -3.14; -3.20; -5.80; -3.67; -4.04; -3.17; -2.89; -3.34; -2.25; -4.26; -3.43; -3.59; -3.53; -3.62; -2.84; -2.64; -3.08; -3.82; -2.96; -3.17; -4.78.